First-principles (PBE) data for a relaxed structure of TaFe2Tc2, as listed in Alexandria.

```
TaFe2Tc2
1.0
7.140 0.000 0.000
0.000 7.140 0.000
0.000 0.000 2.693
Ta Fe Tc
2 4 4
direct
0.000 0.000 0.000
0.500 0.500 0.000
0.121 0.379 0.000
0.379 0.879 0.000
0.621 0.121 0.000
0.879 0.621 0.000
0.173 0.673 0.500
0.327 0.173 0.500
0.673 0.827 0.500
0.827 0.327 0.500
```

symmetry: No. 127
DOS(E_F): 6.84 states/eV/f.u.
energy relative to the lowest polymorph listed for this composition: 0.000 eV/atom
total energy: -9.853 eV/atom